A relaxed structure of ScWF3, computed with PBE with a Hubbard U.

a = 4.4228 Å, b = 4.4228 Å, c = 4.4228 Å
α = 90.00°, β = 90.00°, γ = 90.00°
Sites, in units of the cell vectors:
Sc 0.0000 0.0000 0.0000
W 0.5000 0.5000 0.5000
F 0.0000 0.5000 0.5000
F 0.5000 0.0000 0.5000
F 0.5000 0.5000 0.0000

Output
energy above the lowest structure with this stoichiometry: 569 meV per atom
total DFT energy (no corrections): -25.82 eV per cell